Record 1
DFT (PBE) results for a relaxed structure of In2TcCBr.

Calculated values
SG: P4/mmm, No. 123

abc: 5.6750 5.6750 3.8257
angles: 90.00 90.00 90.00
Last column: nearest neighbours and their distance in Å.
Positions (direct):
In 0.0000 0.5000 0.0000  2 Br 2.84
In 0.5000 0.0000 0.0000  2 Br 2.84
Tc 0.0000 0.0000 0.5000  8 In 3.42, 2 Tc 3.83
C 0.5000 0.5000 0.5000  2 Br 1.91
Br 0.5000 0.5000 0.0000  2 C 1.91


Record 2
DFT (PBE) results for a relaxed structure of V2InCBr.

Calculated values
SG: P4/mmm, No. 123

abc: 4.0600 4.0600 6.1558
angles: 90.00 90.00 90.00
Last column: nearest neighbours and their distance in Å.
Positions (direct):
V 0.0000 0.5000 0.0000  2 C 2.03
V 0.5000 0.0000 0.0000  2 C 2.03
In 0.0000 0.0000 0.5000  4 Br 2.87
C 0.5000 0.5000 0.0000  4 V 2.03
Br 0.5000 0.5000 0.5000  4 In 2.87, 2 C 3.08


Record 3
DFT (PBE) results for a relaxed structure of Ir3CBr.

Calculated values
SG: Pm-3m, No. 221
Energy above the most stable polymorph in this dataset, eV/f.u.: 0.00

abc: 4.1905 4.1905 4.1905
angles: 90.00 90.00 90.00
Last column: nearest neighbours and their distance in Å.
Positions (direct):
Ir 0.0000 0.0000 0.5000  2 C 2.10
Ir 0.0000 0.5000 0.0000  2 C 2.10
Ir 0.5000 0.0000 0.0000  2 C 2.10
C 0.0000 0.0000 0.0000  6 Ir 2.10
Br 0.5000 0.5000 0.5000  12 Ir 2.96


Record 4
DFT (PBE) results for a relaxed structure of IrCBr2.

Calculated values
SG: Fm-3m, No. 225
Energy above the most stable polymorph in this dataset, eV/f.u.: 1.51

abc: 6.4109 6.4109 6.4109
angles: 90.00 90.00 90.00
Last column: nearest neighbours and their distance in Å.
Positions (direct):
Ir 0.0000 0.0000 0.0000  8 Br 2.78
Ir 0.0000 0.5000 0.5000  8 Br 2.78
Ir 0.5000 0.0000 0.5000  8 Br 2.78
Ir 0.5000 0.5000 0.0000  8 Br 2.78
C 0.0000 0.0000 0.5000  8 Br 2.78
C 0.0000 0.5000 0.0000  8 Br 2.78
C 0.5000 0.0000 0.0000  8 Br 2.78
C 0.5000 0.5000 0.5000  8 Br 2.78
Br 0.2500 0.2500 0.2500  4 Ir 2.78, 4 C 2.78
Br 0.2500 0.2500 0.7500  4 Ir 2.78, 4 C 2.78
Br 0.2500 0.7500 0.2500  4 Ir 2.78, 4 C 2.78
Br 0.2500 0.7500 0.7500  4 Ir 2.78, 4 C 2.78
Br 0.7500 0.2500 0.2500  4 Ir 2.78, 4 C 2.78
Br 0.7500 0.2500 0.7500  4 Ir 2.78, 4 C 2.78
Br 0.7500 0.7500 0.2500  4 Ir 2.78, 4 C 2.78
Br 0.7500 0.7500 0.7500  4 C 2.78, 4 Ir 2.78


Record 5
DFT (PBE) results for a relaxed structure of IrC2Br.

Calculated values
SG: Fm-3m, No. 225
Energy above the most stable polymorph in this dataset, eV/f.u.: 5.80

abc: 5.7249 5.7249 5.7249
angles: 90.00 90.00 90.00
Last column: nearest neighbours and their distance in Å.
Positions (direct):
Ir 0.0000 0.0000 0.0000  8 C 2.48
Ir 0.0000 0.5000 0.5000  8 C 2.48
Ir 0.5000 0.0000 0.5000  8 C 2.48
Ir 0.5000 0.5000 0.0000  8 C 2.48
C 0.2500 0.2500 0.2500  4 Br 2.48, 4 Ir 2.48
C 0.2500 0.2500 0.7500  4 Br 2.48, 4 Ir 2.48
C 0.2500 0.7500 0.2500  4 Br 2.48, 4 Ir 2.48
C 0.2500 0.7500 0.7500  4 Br 2.48, 4 Ir 2.48
C 0.7500 0.2500 0.2500  4 Br 2.48, 4 Ir 2.48
C 0.7500 0.2500 0.7500  4 Br 2.48, 4 Ir 2.48
C 0.7500 0.7500 0.2500  4 Br 2.48, 4 Ir 2.48
C 0.7500 0.7500 0.7500  4 Br 2.48, 4 Ir 2.48
Br 0.0000 0.0000 0.5000  8 C 2.48
Br 0.0000 0.5000 0.0000  8 C 2.48
Br 0.5000 0.0000 0.0000  8 C 2.48
Br 0.5000 0.5000 0.5000  8 C 2.48


Record 6
DFT (PBE) results for a relaxed structure of IrCBr2.

Calculated values
SG: I-42d, No. 122
Energy above the most stable polymorph in this dataset, eV/f.u.: 0.50

abc: 6.4034 6.4034 7.7065
angles: 90.00 90.00 90.00
Last column: nearest neighbours and their distance in Å.
Positions (direct):
Ir 0.0000 0.0000 0.0000  4 Br 2.48
Ir 0.0000 0.5000 0.2500  4 Br 2.48
Ir 0.5000 0.0000 0.7500  4 Br 2.48
Ir 0.5000 0.5000 0.5000  4 Br 2.48
C 0.0000 0.0000 0.5000  4 Br 2.44
C 0.0000 0.5000 0.7500  4 Br 2.44
C 0.5000 0.0000 0.2500  4 Br 2.44
C 0.5000 0.5000 0.0000  4 Br 2.44
Br 0.2452 0.7500 0.6250  2 C 2.44, 2 Ir 2.48
Br 0.2500 0.2452 0.3750  2 C 2.44, 2 Ir 2.48
Br 0.2500 0.2548 0.8750  2 C 2.44, 2 Ir 2.48
Br 0.2548 0.7500 0.1250  2 C 2.44, 2 Ir 2.48
Br 0.7452 0.2500 0.1250  2 C 2.44, 2 Ir 2.48
Br 0.7500 0.7452 0.8750  2 C 2.44, 2 Ir 2.48
Br 0.7500 0.7548 0.3750  2 C 2.44, 2 Ir 2.48
Br 0.7548 0.2500 0.6250  2 C 2.44, 2 Ir 2.48


Record 7
DFT (PBE) results for a relaxed structure of Ir2CBr.

Calculated values
SG: I-42d, No. 122
Energy above the most stable polymorph in this dataset, eV/f.u.: 0.00

abc: 5.0986 5.0986 10.6010
angles: 90.00 90.00 90.00
Last column: nearest neighbours and their distance in Å.
Positions (direct):
Ir 0.1470 0.2500 0.1250  2 C 1.99
Ir 0.2500 0.6470 0.3750  2 C 1.99
Ir 0.2500 0.8530 0.8750  2 C 1.99
Ir 0.3530 0.2500 0.6250  2 C 1.99
Ir 0.6470 0.7500 0.6250  2 C 1.99
Ir 0.7500 0.1470 0.8750  2 C 1.99
Ir 0.7500 0.3530 0.3750  2 C 1.99
Ir 0.8530 0.7500 0.1250  2 C 1.99
C 0.0000 0.0000 0.0000  4 Ir 1.99
C 0.0000 0.5000 0.2500  4 Ir 1.99
C 0.5000 0.0000 0.7500  4 Ir 1.99
C 0.5000 0.5000 0.5000  4 Ir 1.99
Br 0.0000 0.0000 0.5000  4 Ir 2.57
Br 0.0000 0.5000 0.7500  4 Ir 2.57
Br 0.5000 0.0000 0.2500  4 Ir 2.57
Br 0.5000 0.5000 0.0000  4 Ir 2.57


Record 8
DFT (PBE) results for a relaxed structure of IrC2Br.

Calculated values
SG: I-42d, No. 122
Energy above the most stable polymorph in this dataset, eV/f.u.: 0.00

abc: 5.5950 5.5950 9.1325
angles: 90.00 90.00 90.00
Last column: nearest neighbours and their distance in Å.
Positions (direct):
Ir 0.0000 0.0000 0.0000  4 C 1.90
Ir 0.0000 0.5000 0.2500  4 C 1.90
Ir 0.5000 0.0000 0.7500  4 C 1.90
Ir 0.5000 0.5000 0.5000  4 C 1.90
C 0.1064 0.2500 0.1250  2 Ir 1.90
C 0.2500 0.6064 0.3750  2 Ir 1.90
C 0.2500 0.8936 0.8750  2 Ir 1.90
C 0.3936 0.2500 0.6250  2 Ir 1.90
C 0.6064 0.7500 0.6250  2 Ir 1.90
C 0.7500 0.1064 0.8750  2 Ir 1.90
C 0.7500 0.3936 0.3750  2 Ir 1.90
C 0.8936 0.7500 0.1250  2 Ir 1.90
Br 0.0000 0.0000 0.5000  4 C 2.85
Br 0.0000 0.5000 0.7500  4 C 2.85
Br 0.5000 0.0000 0.2500  4 C 2.85
Br 0.5000 0.5000 0.0000  4 C 2.85


Record 9
DFT (PBE) results for a relaxed structure of IrCBr2.

Calculated values
SG: R-3m, No. 166
Energy above the most stable polymorph in this dataset, eV/f.u.: 0.00

abc: 3.2348 3.2348 23.7970
angles: 90.00 90.00 120.00
Last column: nearest neighbours and their distance in Å.
Positions (direct):
Ir 0.0000 0.0000 0.0000  2 Br 2.41
Ir 0.3333 0.6667 0.6667  2 Br 2.41
Ir 0.6667 0.3333 0.3333  2 Br 2.41
C 0.0000 0.0000 0.5000  6 Br 2.43
C 0.3333 0.6667 0.1667  6 Br 2.43
C 0.6667 0.3333 0.8333  6 Br 2.43
Br 0.0000 0.0000 0.1011  1 Ir 2.41, 3 C 2.43
Br 0.0000 0.0000 0.8989  1 Ir 2.41, 3 C 2.43
Br 0.3333 0.6667 0.5656  1 Ir 2.41, 3 C 2.43
Br 0.3333 0.6667 0.7678  1 Ir 2.41, 3 C 2.43
Br 0.6667 0.3333 0.2322  1 Ir 2.41, 3 C 2.43
Br 0.6667 0.3333 0.4344  1 Ir 2.41, 3 C 2.43


Record 10
DFT (PBE) results for a relaxed structure of Ir2CBr.

Calculated values
SG: Fm-3m, No. 225
Energy above the most stable polymorph in this dataset, eV/f.u.: 4.62

abc: 6.0510 6.0510 6.0510
angles: 90.00 90.00 90.00
Last column: nearest neighbours and their distance in Å.
Positions (direct):
Ir 0.2500 0.2500 0.2500  4 Br 2.62, 4 C 2.62
Ir 0.2500 0.2500 0.7500  4 Br 2.62, 4 C 2.62
Ir 0.2500 0.7500 0.2500  4 Br 2.62, 4 C 2.62
Ir 0.2500 0.7500 0.7500  4 Br 2.62, 4 C 2.62
Ir 0.7500 0.2500 0.2500  4 Br 2.62, 4 C 2.62
Ir 0.7500 0.2500 0.7500  4 Br 2.62, 4 C 2.62
Ir 0.7500 0.7500 0.2500  4 Br 2.62, 4 C 2.62
Ir 0.7500 0.7500 0.7500  4 Br 2.62, 4 C 2.62
C 0.0000 0.0000 0.0000  8 Ir 2.62
C 0.0000 0.5000 0.5000  8 Ir 2.62
C 0.5000 0.0000 0.5000  8 Ir 2.62
C 0.5000 0.5000 0.0000  8 Ir 2.62
Br 0.0000 0.0000 0.5000  8 Ir 2.62
Br 0.0000 0.5000 0.0000  8 Ir 2.62
Br 0.5000 0.0000 0.0000  8 Ir 2.62
Br 0.5000 0.5000 0.5000  8 Ir 2.62


Record 11
DFT (PBE) results for a relaxed structure of Ir3CBr.

Calculated values
SG: Pm-3m, No. 221
Energy above the most stable polymorph in this dataset, eV/f.u.: 10.51

abc: 4.6038 4.6038 4.6038
angles: 90.00 90.00 90.00
Last column: nearest neighbours and their distance in Å.
Positions (direct):
Ir 0.0000 0.0000 0.5000  2 Br 2.30
Ir 0.0000 0.5000 0.0000  2 Br 2.30
Ir 0.5000 0.0000 0.0000  2 Br 2.30
C 0.5000 0.5000 0.5000  12 Ir 3.26
Br 0.0000 0.0000 0.0000  6 Ir 2.30


Record 12
DFT (PBE) results for a relaxed structure of La8Ir3CBr4.

Calculated values
SG: R-3m, No. 166

abc: 9.2110 9.2110 9.2110
angles: 53.62 53.62 53.62
Last column: nearest neighbours and their distance in Å.
Positions (direct):
La 0.2335 0.2335 0.2335  3 Ir 2.87
La 0.2446 0.7215 0.7215  1 C 2.72, 2 Ir 2.87
La 0.2785 0.2785 0.7554  1 C 2.72, 2 Ir 2.87
La 0.2785 0.7554 0.2785  1 C 2.72, 2 Ir 2.87
La 0.7215 0.2446 0.7215  1 C 2.72, 2 Ir 2.87
La 0.7215 0.7215 0.2446  1 C 2.72, 2 Ir 2.87
La 0.7554 0.2785 0.2785  1 C 2.72, 2 Ir 2.87
La 0.7665 0.7665 0.7665  3 Ir 2.87
Ir 0.0000 0.0000 0.5000  6 La 2.87
Ir 0.0000 0.5000 0.0000  6 La 2.87
Ir 0.5000 0.0000 0.0000  6 La 2.87
C 0.5000 0.5000 0.5000  6 La 2.72
Br 0.0000 0.0000 0.0000  6 La 3.51
Br 0.0000 0.5000 0.5000  6 La 3.36-3.40
Br 0.5000 0.0000 0.5000  6 La 3.36-3.40
Br 0.5000 0.5000 0.0000  6 La 3.36-3.40


no.,formation energy without anion corrections (eV per atom)
1,2.005
2,0.698
3,1.129
4,2.207
5,2.874
6,1.955
7,0.811
8,1.423
9,1.830
10,1.965
11,3.230
12,-1.104